Record 1
VASP calculation (GGA-PBE) on a geometry-optimized Cr2CuPd structure.

For the energy of formation, the calculation gives 0.796 eV per atom.

The space group is I-42d (No. 122) and the conventional cell measures 6.763, 6.763 and 4.851 Å, with angles of 90.00, 90.00 and 90.00 degrees. The inequivalent atoms are Cr at (0.246, 0.750, 0.125), Cu at (0.000, 0.000, 0.000) and Pd at (0.000, 0.000, 0.500).


Record 2
VASP calculation (GGA-PBE) on a geometry-optimized AlAu3 structure.

For the energy of formation, the calculation gives -0.129 eV per atom.

The space group is Pm-3n (No. 223) and the conventional cell measures 5.218, 5.218 and 5.218 Å, with angles of 90.00, 90.00 and 90.00 degrees. The inequivalent atoms are Al at (0.000, 0.000, 0.000) and Au at (0.000, 0.250, 0.500).


Record 3
VASP calculation (GGA-PBE) on a geometry-optimized GaAg2Ge structure.

For the energy of formation, the calculation gives 0.167 eV per atom.

The space group is I-42d (No. 122) and the conventional cell measures 4.136, 4.136 and 18.072 Å, with angles of 90.00, 90.00 and 90.00 degrees. The inequivalent atoms are Ga at (0.000, 0.000, 0.000), Ag at (0.249, 0.250, 0.625) and Ge at (0.000, 0.000, 0.500).


Record 4
VASP calculation (GGA-PBE) on a geometry-optimized LaOsBr2 structure.

As for the uncorrected formation energy: -1.308 eV per formula unit.

The space group is R3m (No. 160, hexagonal axes) and the conventional cell measures 4.2459, 4.2459 and 22.6068 Å, with angles of 90.00, 90.00 and 120.00 degrees. The inequivalent atoms are La at (0.0000, 0.0000, 0.0000), Os at (0.0000, 0.0000, 0.7431), Br at (0.0000, 0.0000, 0.2467) and Br at (0.0000, 0.0000, 0.4315).


Record 5
VASP calculation (GGA-PBE) on a geometry-optimized LiScMo2 structure.

For the energy of formation, the calculation gives 0.243 eV per atom.

The space group is Pm (No. 6) and the conventional cell measures 2.773, 4.400 and 5.772 Å, with angles of 90.00, 102.08 and 90.00 degrees. The inequivalent atoms are Li at (0.000, 0.000, 0.000), Sc at (0.314, 0.500, 0.729), Mo at (0.571, 0.000, 0.458) and Mo at (0.745, 0.500, 0.261).


Record 6
VASP calculation (GGA-PBE) on a geometry-optimized K3GaSe3 structure.

As for the uncorrected formation energy: -7.615 eV per formula unit.

The space group is P2_1/c (No. 14) and the conventional cell measures 8.183, 13.450 and 10.476 Å, with angles of 90.00, 127.36 and 90.00 degrees. The inequivalent atoms are K at (0.137, 0.114, 0.474), K at (0.180, 0.106, 0.901), K at (0.343, 0.690, 0.567), Ga at (0.444, 0.067, 0.338), Se at (0.178, 0.193, 0.200), Se at (0.324, 0.598, 0.863) and Se at (0.363, 0.552, 0.265).


Record 7
VASP calculation (GGA-PBE) on a geometry-optimized Ba2CdHg8 structure.

For the energy of formation, the calculation gives -0.309 eV per atom.

The space group is C2/m (No. 12) and the conventional cell measures 17.353, 5.387 and 8.010 Å, with angles of 90.00, 117.23 and 90.00 degrees. The inequivalent atoms are Ba at (0.219, 0.000, 0.218), Cd at (0.000, 0.500, 0.500), Hg at (0.000, 0.000, 0.197), Hg at (0.114, 0.500, 0.920), Hg at (0.116, 0.500, 0.312) and Hg at (0.134, 0.000, 0.632).


Record 8
VASP calculation (GGA-PBE) on a geometry-optimized Dy2Er4Zr structure.

For the energy of formation, the calculation gives 0.030 eV per atom.

The space group is Cm (No. 8) and the conventional cell measures 6.088, 3.516 and 19.534 Å, with angles of 90.00, 95.96 and 90.00 degrees. The inequivalent atoms are Dy at (0.000, 0.000, 0.000), Dy at (0.097, 0.000, 0.292), Er at (0.197, 0.000, 0.585), Er at (0.215, 0.500, 0.145), Er at (0.284, 0.000, 0.850), Er at (0.314, 0.500, 0.437) and Zr at (0.407, 0.500, 0.718).


Number 1: final energy -6.34 eV per atom. Number 2: final energy -3.52 eV per atom. Number 3: final energy -3.17 eV per atom. Number 4: final energy -5.20 eV per atom. Number 5: final energy -7.23 eV per atom. Number 6: final energy -3.48 eV per atom. Number 7: final energy -0.96 eV per atom. Number 8: final energy -5.11 eV per atom.